1.
## Li3Sb5Te12 (PBE)

Data for crystalline Li3Sb5Te12 at its relaxed geometry.

Cell: 15.4730 15.4730 15.4730 Å, 109.47 109.47 109.47°
With the nearest neighbours (Å) after each atom.
Sites, in units of the cell vectors:
Li (0.1250, 0.2500, 0.3750)  8 Te 3.26-3.30
Li (0.1250, 0.3750, 0.7500)  8 Te 3.26-3.30
Li (0.2500, 0.3750, 0.1250)  8 Te 3.26-3.30
Li (0.2500, 0.8750, 0.6250)  8 Te 3.26-3.30
Li (0.3750, 0.1250, 0.2500)  8 Te 3.26-3.30
Li (0.3750, 0.7500, 0.1250)  8 Te 3.26-3.30
Li (0.6250, 0.2500, 0.8750)  8 Te 3.26-3.30
Li (0.6250, 0.8750, 0.7500)  8 Te 3.26-3.30
Li (0.7500, 0.1250, 0.3750)  8 Te 3.26-3.30
Li (0.7500, 0.6250, 0.8750)  8 Te 3.26-3.30
Li (0.8750, 0.6250, 0.2500)  8 Te 3.26-3.30
Li (0.8750, 0.7500, 0.6250)  8 Te 3.26-3.30
Sb (0.0000, 0.0000, 0.0000)  6 Te 3.04
Sb (0.0000, 0.0000, 0.5000)  6 Te 3.04
Sb (0.0000, 0.5000, 0.0000)  6 Te 3.04
Sb (0.0000, 0.5000, 0.5000)  6 Te 3.04
Sb (0.1250, 0.7500, 0.8750)  4 Te 2.89
Sb (0.1250, 0.8750, 0.2500)  4 Te 2.89
Sb (0.2500, 0.1250, 0.8750)  4 Te 2.89
Sb (0.2500, 0.6250, 0.3750)  4 Te 2.89
Sb (0.3750, 0.2500, 0.6250)  4 Te 2.89
Sb (0.3750, 0.6250, 0.7500)  4 Te 2.89
Sb (0.5000, 0.0000, 0.0000)  6 Te 3.04
Sb (0.5000, 0.0000, 0.5000)  6 Te 3.04
Sb (0.5000, 0.5000, 0.0000)  6 Te 3.04
Sb (0.5000, 0.5000, 0.5000)  6 Te 3.04
Sb (0.6250, 0.3750, 0.2500)  4 Te 2.89
Sb (0.6250, 0.7500, 0.3750)  4 Te 2.89
Sb (0.7500, 0.3750, 0.6250)  4 Te 2.89
Sb (0.7500, 0.8750, 0.1250)  4 Te 2.89
Sb (0.8750, 0.1250, 0.7500)  4 Te 2.89
Sb (0.8750, 0.2500, 0.1250)  4 Te 2.89
Te (0.0544, 0.2242, 0.1380)  2 Sb 2.89-3.04
Te (0.0544, 0.3302, 0.9164)  2 Sb 2.89-3.04
Te (0.0836, 0.6380, 0.4138)  2 Sb 2.89-3.04
Te (0.0836, 0.9456, 0.6698)  2 Sb 2.89-3.04
Te (0.0862, 0.7242, 0.6698)  2 Sb 2.89-3.04
Te (0.0862, 0.8620, 0.4164)  2 Sb 2.89-3.04
Te (0.1380, 0.0544, 0.2242)  2 Sb 2.89-3.04
Te (0.1380, 0.5836, 0.9138)  2 Sb 2.89-3.04
Te (0.1698, 0.2242, 0.5862)  2 Sb 2.89-3.04
Te (0.1698, 0.4456, 0.5836)  2 Sb 2.89-3.04
Te (0.2242, 0.1380, 0.0544)  2 Sb 2.89-3.04
Te (0.2242, 0.5862, 0.1698)  2 Sb 2.89-3.04
Te (0.2758, 0.3302, 0.9138)  2 Sb 2.89-3.04
Te (0.2758, 0.4456, 0.3620)  2 Sb 2.89-3.04
Te (0.3302, 0.9138, 0.2758)  2 Sb 2.89-3.04
Te (0.3302, 0.9164, 0.0544)  2 Sb 2.89-3.04
Te (0.3620, 0.2758, 0.4456)  2 Sb 2.89-3.04
Te (0.3620, 0.5862, 0.9164)  2 Sb 2.89-3.04
Te (0.4138, 0.0836, 0.6380)  2 Sb 2.89-3.04
Te (0.4138, 0.8302, 0.7758)  2 Sb 2.89-3.04
Te (0.4164, 0.0862, 0.8620)  2 Sb 2.89-3.04
Te (0.4164, 0.8302, 0.5544)  2 Sb 2.89-3.04
Te (0.4456, 0.3620, 0.2758)  2 Sb 2.89-3.04
Te (0.4456, 0.5836, 0.1698)  2 Sb 2.89-3.04
Te (0.5544, 0.4164, 0.8302)  2 Sb 2.89-3.04
Te (0.5544, 0.6380, 0.7242)  2 Sb 2.89-3.04
Te (0.5836, 0.1698, 0.4456)  2 Sb 2.89-3.04
Te (0.5836, 0.9138, 0.1380)  2 Sb 2.89-3.04
Te (0.5862, 0.1698, 0.2242)  2 Sb 2.89-3.04
Te (0.5862, 0.9164, 0.3620)  2 Sb 2.89-3.04
Te (0.6380, 0.4138, 0.0836)  2 Sb 2.89-3.04
Te (0.6380, 0.7242, 0.5544)  2 Sb 2.89-3.04
Te (0.6698, 0.0836, 0.9456)  2 Sb 2.89-3.04
Te (0.6698, 0.0862, 0.7242)  2 Sb 2.89-3.04
Te (0.7242, 0.5544, 0.6380)  2 Sb 2.89-3.04
Te (0.7242, 0.6698, 0.0862)  2 Sb 2.89-3.04
Te (0.7758, 0.4138, 0.8302)  2 Sb 2.89-3.04
Te (0.7758, 0.8620, 0.9456)  2 Sb 2.89-3.04
Te (0.8302, 0.5544, 0.4164)  2 Sb 2.89-3.04
Te (0.8302, 0.7758, 0.4138)  2 Sb 2.89-3.04
Te (0.8620, 0.4164, 0.0862)  2 Sb 2.89-3.04
Te (0.8620, 0.9456, 0.7758)  2 Sb 2.89-3.04
Te (0.9138, 0.1380, 0.5836)  2 Sb 2.89-3.04
Te (0.9138, 0.2758, 0.3302)  2 Sb 2.89-3.04
Te (0.9164, 0.0544, 0.3302)  2 Sb 2.89-3.04
Te (0.9164, 0.3620, 0.5862)  2 Sb 2.89-3.04
Te (0.9456, 0.6698, 0.0836)  2 Sb 2.89-3.04
Te (0.9456, 0.7758, 0.8620)  2 Sb 2.89-3.04

Summary:
Formation energy without anion corrections: -0.095 eV/atom
DFT total energy: -3.30 eV per atom
SG: Ia-3d



2.
## ScReOs2 (PBE)

Data for crystalline ScReOs2 at its relaxed geometry.

Cell: 5.4925 8.7108 2.7727 Å, 90.00 110.86 90.00°
With the nearest neighbours (Å) after each atom.
Sites, in units of the cell vectors:
Sc (0.0000, 0.0000, 0.0000)  4 Os 2.68, 2 Re 2.75, 2 Sc 2.77
Sc (0.5000, 0.5000, 0.0000)  4 Os 2.68, 2 Re 2.75, 2 Sc 2.77
Re (0.0000, 0.5000, 0.0000)  4 Os 2.68, 2 Sc 2.75, 2 Re 2.77
Re (0.5000, 0.0000, 0.0000)  4 Os 2.68, 2 Sc 2.75, 2 Re 2.77
Os (0.2500, 0.2500, 0.5000)  2 Re 2.68, 2 Sc 2.68, 4 Os 2.75-2.77
Os (0.2500, 0.7500, 0.5000)  2 Re 2.68, 2 Sc 2.68, 4 Os 2.75-2.77
Os (0.7500, 0.2500, 0.5000)  2 Re 2.68, 2 Sc 2.68, 4 Os 2.75-2.77
Os (0.7500, 0.7500, 0.5000)  2 Re 2.68, 2 Sc 2.68, 4 Os 2.75-2.77

Summary:
DFT total energy: -10.19 eV per atom
SG: C2/m
Energy of formation: 0.115 eV/atom



3.
## In2HgPb2 (PBE)

Data for crystalline In2HgPb2 at its relaxed geometry.

Cell: 4.2868 4.2868 16.7555 Å, 90.00 90.00 90.00°
With the nearest neighbours (Å) after each atom.
Sites, in units of the cell vectors:
In (0.0000, 0.5000, 0.2500)  4 In 3.03, 4 Pb 3.26
In (0.0000, 0.5000, 0.7500)  4 In 3.03, 4 Pb 3.26
In (0.5000, 0.0000, 0.2500)  4 In 3.03, 4 Pb 3.26
In (0.5000, 0.0000, 0.7500)  4 In 3.03, 4 Pb 3.26
Hg (0.0000, 0.0000, 0.0000)  8 Pb 3.49
Hg (0.5000, 0.5000, 0.5000)  8 Pb 3.49
Pb (0.0000, 0.0000, 0.3968)  4 In 3.26, 1 Pb 3.46, 4 Hg 3.49
Pb (0.0000, 0.0000, 0.6032)  4 In 3.26, 1 Pb 3.46, 4 Hg 3.49
Pb (0.5000, 0.5000, 0.1032)  4 In 3.26, 1 Pb 3.46, 4 Hg 3.49
Pb (0.5000, 0.5000, 0.8968)  4 In 3.26, 1 Pb 3.46, 4 Hg 3.49

Summary:
DFT total energy: -2.55 eV per atom
SG: I4/mmm
Energy of formation: 0.088 eV/atom



4.
## TiCr3 (PBE)

Data for crystalline TiCr3 at its relaxed geometry.

Cell: 5.8575 5.8575 5.8575 Å, 90.00 90.00 90.00°
With the nearest neighbours (Å) after each atom.
Sites, in units of the cell vectors:
Ti (0.0000, 0.0000, 0.0000)  8 Cr 2.54
Ti (0.0000, 0.5000, 0.5000)  8 Cr 2.54
Ti (0.5000, 0.0000, 0.5000)  8 Cr 2.54
Ti (0.5000, 0.5000, 0.0000)  8 Cr 2.54
Cr (0.0000, 0.0000, 0.5000)  8 Cr 2.54
Cr (0.0000, 0.5000, 0.0000)  8 Cr 2.54
Cr (0.2500, 0.2500, 0.2500)  4 Cr 2.54, 4 Ti 2.54
Cr (0.2500, 0.2500, 0.7500)  4 Cr 2.54, 4 Ti 2.54
Cr (0.2500, 0.7500, 0.2500)  4 Cr 2.54, 4 Ti 2.54
Cr (0.2500, 0.7500, 0.7500)  4 Cr 2.54, 4 Ti 2.54
Cr (0.5000, 0.0000, 0.0000)  8 Cr 2.54
Cr (0.5000, 0.5000, 0.5000)  8 Cr 2.54
Cr (0.7500, 0.2500, 0.2500)  4 Cr 2.54, 4 Ti 2.54
Cr (0.7500, 0.2500, 0.7500)  4 Cr 2.54, 4 Ti 2.54
Cr (0.7500, 0.7500, 0.2500)  4 Cr 2.54, 4 Ti 2.54
Cr (0.7500, 0.7500, 0.7500)  4 Cr 2.54, 4 Ti 2.54

Summary:
DFT total energy: -9.17 eV per atom
SG: Fm-3m
Energy of formation: 0.019 eV/atom